[1]
First-principles (PBE) data for a relaxed BeRh2Pb crystal, as listed in the Alexandria database.

ΔE_f = -5.2 kJ per mole of atoms
density = 11.5 g/cm3
space group = No. 225
DOS at the Fermi energy = 3.47 states/eV per cell
V = 15.18 A^3/atom
distance to the lowest polymorph of the same formula = 53 meV per atom

The structure in extended XYZ format:
```
4
Lattice="0.0000 3.1196 3.1196 3.1196 0.0000 3.1196 3.1196 3.1196 0.0000" Properties=species:S:1:pos:R:3 pbc="T T T"
Pb 3.1196 3.1196 3.1196
Rh 1.5598 1.5598 1.5598
Rh 4.6794 4.6794 4.6794
Be 0.0000 0.0000 0.0000
```

---

[2]
First-principles (PBE) data for a relaxed Ho3Tm5Sb8 crystal, as listed in the Alexandria database.

formation energy (no corrections) = -1084 meV/atom
density = 8.3 g/cm3
space group = No. 166
DOS at the Fermi energy = 2.82 states/eV per cell
V = 29.07 A^3/atom

The structure in extended XYZ format:
```
16
Lattice="-8.3871 -0.7881 -2.1633 -3.9436 -7.7271 0.6204 -5.9752 -1.3496 6.1737" Properties=species:S:1:pos:R:3 pbc="T T T"
Sb -9.5388 -6.9952 4.5630
Sb -11.7541 -3.5359 3.1752
Sb -6.5518 -6.3289 1.4556
Sb -10.7330 -6.7218 0.3771
Sb -4.5721 -2.4697 1.1420
Sb -7.5728 -3.1430 4.2537
Sb -13.7338 -7.3951 3.4888
Sb -8.7670 -2.8696 0.0678
Tm -4.1936 -0.3940 -1.0817
Tm 0.0000 0.0000 0.0000
Tm -1.9718 -3.8636 0.3102
Tm -6.1653 -4.2576 -0.7715
Tm -9.1529 -4.9324 2.3154
Ho -2.9876 -0.6748 3.0869
Ho -7.1812 -1.0688 2.0052
Ho -4.9594 -4.5384 3.3971
```

---

[3]
First-principles (PBE) data for a relaxed Be2HgAs crystal, as listed in the Alexandria database.

ΔE_f = 55.0 kJ per mole of atoms
density = 7.5 g/cm3
space group = No. 119
DOS at the Fermi energy = 1.28 states/eV per cell
V = 16.27 A^3/atom

The structure in extended XYZ format:
```
4
Lattice="6.0007 0.2073 0.0000 3.8732 4.5880 0.0000 -4.9369 -2.3977 2.4350" Properties=species:S:1:pos:R:3 pbc="T T T"
As 3.0004 0.1037 1.2175
Be 1.9366 2.2940 1.2175
Be 0.0000 0.0000 0.0000
Hg 4.9369 2.3977 0.0000
```

---

[4]
First-principles (PBE) data for a relaxed Ac2ErSn4Rh3 crystal, as listed in the Alexandria database.

ΔE_f = -67.8 kJ per mole of atoms
density = 9.4 g/cm3
space group = No. 115
DOS at the Fermi energy = 6.41 states/eV per cell
V = 24.87 A^3/atom

The structure in extended XYZ format:
```
10
Lattice="-1.7028 0.0534 4.1982 -0.0074 -4.5304 0.0547 11.2263 0.0366 4.5529" Properties=species:S:1:pos:R:3 pbc="T T T"
Rh 5.6131 0.0183 2.2765
Rh 9.0049 0.0589 6.0965
Rh 1.3662 -2.2607 0.5829
Sn 6.5370 0.0508 5.0956
Sn 0.0000 0.0000 0.0000
Sn -0.8551 -2.2385 2.1265
Sn 3.8342 -2.2527 1.5838
Er 4.7580 -2.2202 4.4029
Ac 8.6242 -2.2371 3.5265
Ac 1.7470 0.0352 3.1529
```

---

[5]
First-principles (PBE) data for a relaxed Li3Zr3ScSe8 crystal, as listed in the Alexandria database.

formation energy (no corrections) = -1404 meV/atom
density = 4.9 g/cm3
space group = No. 166
DOS at the Fermi energy = 5.15 states/eV per cell
V = 21.89 A^3/atom

The structure in extended XYZ format:
```
15
Lattice="7.5918 -0.0012 -0.0005 -3.7969 6.5720 -0.0244 0.0002 -4.3554 6.5969" Properties=species:S:1:pos:R:3 pbc="T T T"
Zr -1.8983 1.1083 3.2863
Zr 3.7960 -2.1783 3.2982
Zr 1.8976 1.1077 3.2860
Se -0.0003 2.1946 1.6228
Se 1.8975 -1.0907 1.6759
Se 5.6946 -1.0915 1.6757
Se -1.8995 3.3070 4.8963
Se -0.0002 0.0217 4.9073
Se 3.7953 2.1938 1.6647
Se 3.7954 0.0209 4.9492
Se 1.8976 3.3062 4.8961
Li 1.8974 3.2854 -0.0124
Li -1.8984 3.2860 -0.0122
Li 0.0000 0.0000 0.0000
Sc 0.0001 -2.1777 3.2984
```

---

[6]
First-principles (PBE) data for a relaxed CeGeBr crystal, as listed in the Alexandria database.

formation energy (no corrections) = -1153 meV/atom
density = 5.5 g/cm3
space group = No. 12
DOS at the Fermi energy = 12.22 states/eV per cell
V = 29.68 A^3/atom

The structure in extended XYZ format:
```
6
Lattice="4.3069 0.0000 0.0000 -2.1534 3.6108 0.9460 0.0000 -0.3688 11.3554" Properties=species:S:1:pos:R:3 pbc="T T T"
Br 2.1534 1.9853 2.3081
Br 0.0000 1.2567 9.9933
Ce 2.1535 2.9199 8.5569
Ce 0.0000 0.3222 3.7445
Ge 0.0000 2.2635 6.1554
Ge 2.1534 0.9786 6.1459
```

---

[7]
First-principles (PBE) data for a relaxed MnAl3Pd12 crystal, as listed in the Alexandria database.

ΔE_f = -49.1 kJ per mole of atoms
density = 9.8 g/cm3
space group = No. 123
DOS at the Fermi energy = 16.44 states/eV per cell
V = 14.93 A^3/atom

The structure in extended XYZ format:
```
16
Lattice="3.9187 0.0000 0.0000 0.0000 3.9187 0.0000 0.0000 0.0000 15.5517" Properties=species:S:1:pos:R:3 pbc="T T T"
Pd 1.9593 1.9593 0.0000
Pd 1.9593 0.0000 9.7211
Pd 1.9593 1.9593 3.8898
Pd 1.9593 0.0000 13.5857
Pd 1.9593 1.9593 11.6619
Pd 1.9593 0.0000 5.8306
Pd 0.0000 1.9593 5.8306
Pd 1.9593 0.0000 1.9660
Pd 0.0000 1.9593 9.7211
Pd 0.0000 1.9593 13.5857
Pd 0.0000 1.9593 1.9660
Pd 1.9593 1.9593 7.7759
Mn 0.0000 0.0000 0.0000
Al 0.0000 0.0000 3.9112
Al 0.0000 0.0000 11.6405
Al 0.0000 0.0000 7.7759
```

---

[8]
First-principles (PBE) data for a relaxed Pm5NdIn2 crystal, as listed in the Alexandria database.

ΔE_f = -16.7 kJ per mole of atoms
density = 7.1 g/cm3
space group = No. 71
DOS at the Fermi energy = 11.90 states/eV per cell
V = 32.09 A^3/atom
distance to the lowest polymorph of the same formula = 103 meV per atom

The structure in extended XYZ format:
```
8
Lattice="3.7075 0.0000 0.0000 1.8538 8.3500 -0.6207 1.8538 1.9202 8.1499" Properties=species:S:1:pos:R:3 pbc="T T T"
In 1.8538 2.3772 1.7427
In 5.5613 7.8930 5.7864
Pm 3.7075 5.1285 6.7467
Pm 3.7075 7.9771 2.8611
Pm 1.8538 5.1351 3.7646
Pm 3.7075 5.1417 0.7824
Pm 3.7075 2.2931 4.6680
Nd 0.0000 0.0000 0.0000
```

---

[9]
First-principles (PBE) data for a relaxed Cs3TcH crystal, as listed in the Alexandria database.

density = 3.8 g/cm3
space group = No. 221
DOS at the Fermi energy = 5.11 states/eV per cell
V = 43.95 A^3/atom
distance to the lowest polymorph of the same formula = 0 meV per atom

The structure in extended XYZ format:
```
5
Lattice="6.0344 0.0000 0.0000 0.0000 6.0344 0.0000 0.0000 0.0000 6.0344" Properties=species:S:1:pos:R:3 pbc="T T T"
Tc 3.0172 3.0172 3.0172
H 0.0000 0.0000 0.0000
Cs 0.0000 3.0172 0.0000
Cs 3.0172 0.0000 0.0000
Cs 0.0000 0.0000 3.0172
```

---

[10]
First-principles (PBE) data for a relaxed ErTmBi crystal, as listed in the Alexandria database.

ΔE_f = -48.3 kJ per mole of atoms
density = 10.4 g/cm3
space group = No. 189
DOS at the Fermi energy = 14.15 states/eV per cell
V = 28.92 A^3/atom

The structure in extended XYZ format:
```
9
Lattice="4.2415 0.0000 0.0000 0.0000 7.2904 -4.2092 0.0000 0.0001 8.4183" Properties=species:S:1:pos:R:3 pbc="T T T"
Tm 0.0000 7.2904 -1.9979
Tm 0.0000 5.3754 3.1035
Tm 0.0000 1.9150 -1.1056
Bi 0.0000 4.8603 0.0000
Bi 2.1207 7.2904 -4.2092
Bi 0.0000 2.4302 4.2091
Er 2.1207 4.3630 -2.5190
Er 2.1207 0.0001 5.0380
Er 2.1207 2.9274 1.6901
```